9
Lattice="3.804 0.000 0.000 0.000 6.685 3.861 0.000 -6.685 3.861" Properties=species:S:1:pos:R:3 comment="ErTm2Sc3CuSe2 PBE relaxed" final_energy_ev_per_atom=-5.542 pbc="T T T"
Er 0.000 0.000 0.000
Tm 0.000 -2.692 3.052
Tm 0.000 2.692 3.052
Sc 1.902 0.000 2.702
Sc 1.902 -1.647 5.557
Sc 1.902 1.647 5.557
Cu 0.000 0.000 4.594
Se 1.902 -4.453 4.606
Se 1.902 4.453 4.606

9
Lattice="3.808 0.000 0.000 0.000 6.692 3.862 0.000 -6.692 3.862" Properties=species:S:1:pos:R:3 comment="Er2TmSc3CuSe2 PBE relaxed" final_energy_ev_per_atom=-5.555 pbc="T T T"
Er 0.000 -3.992 3.862
Er 0.000 3.992 3.862
Tm 0.000 0.000 3.056
Sc 1.904 0.000 0.342
Sc 1.904 -1.648 5.213
Sc 1.904 1.648 5.213
Cu 0.000 0.000 6.153
Se 1.904 -2.227 2.304
Se 1.904 2.227 2.304

11
Lattice="-2.044 3.211 6.746 2.044 -3.211 6.746 2.044 3.211 -6.746" Properties=species:S:1:pos:R:3 comment="Er2ScCu4Si4 PBE relaxed" final_energy_ev_per_atom=-5.348 pbc="T T T"
Er 0.000 0.000 1.737
Er 0.000 0.000 11.756
Sc 0.000 3.211 0.000
Cu 2.044 1.981 -2.282
Cu 2.044 1.981 2.282
Cu 0.000 1.231 4.464
Cu 0.000 1.231 9.028
Si 2.044 1.229 0.000
Si 2.044 0.000 3.858
Si 0.000 3.211 2.888
Si 0.000 1.982 6.746

9
Lattice="3.910 0.000 0.000 0.000 6.907 3.992 0.000 -6.907 3.992" Properties=species:S:1:pos:R:3 comment="ErTm2Sc3CuTe2 PBE relaxed" final_energy_ev_per_atom=-5.366 pbc="T T T"
Er 0.000 0.000 0.000
Tm 0.000 -2.717 3.264
Tm 0.000 2.717 3.264
Sc 1.955 0.000 2.935
Sc 1.955 -1.648 5.783
Sc 1.955 1.648 5.783
Cu 0.000 0.000 4.826
Te 1.955 -4.600 4.836
Te 1.955 4.600 4.836

9
Lattice="3.856 0.000 0.000 0.000 7.165 4.144 0.000 -7.165 4.144" Properties=species:S:1:pos:R:3 comment="Er3Tm2ScCuTe2 PBE relaxed" final_energy_ev_per_atom=-4.927 pbc="T T T"
Er 0.000 0.000 0.000
Er 0.000 -1.737 5.201
Er 0.000 1.737 5.201
Tm 1.928 -4.282 3.759
Tm 1.928 4.282 3.759
Sc 1.928 0.000 2.903
Cu 1.928 0.000 6.232
Te 0.000 -2.350 2.104
Te 0.000 2.350 2.104

9
Lattice="3.954 0.000 0.000 0.000 6.914 3.981 0.000 -6.914 3.981" Properties=species:S:1:pos:R:3 comment="Y2ErSc3CuTe2 PBE relaxed" final_energy_ev_per_atom=-5.835 pbc="T T T"
Y 0.000 -4.176 3.981
Y 0.000 4.176 3.981
Er 0.000 0.000 4.719
Sc 1.977 -1.628 2.521
Sc 1.977 1.628 2.521
Sc 1.977 0.000 7.654
Cu 0.000 0.000 1.585
Te 1.977 -2.298 5.554
Te 1.977 2.298 5.554

9
Lattice="3.939 0.000 0.000 0.000 6.902 3.997 0.000 -6.902 3.997" Properties=species:S:1:pos:R:3 comment="YEr2Sc3CuTe2 PBE relaxed" final_energy_ev_per_atom=-5.614 pbc="T T T"
Y 0.000 0.000 0.000
Er 0.000 -2.718 4.740
Er 0.000 2.718 4.740
Sc 1.969 -1.644 2.226
Sc 1.969 1.644 2.226
Sc 1.969 0.000 5.053
Cu 0.000 0.000 3.184
Te 1.969 -4.590 3.161
Te 1.969 4.590 3.161

9
Lattice="3.838 0.000 0.000 0.000 7.126 4.103 0.000 -7.126 4.103" Properties=species:S:1:pos:R:3 comment="YEr3Sc2CuTe2 PBE relaxed" final_energy_ev_per_atom=-5.354 pbc="T T T"
Y 0.000 0.000 0.000
Er 1.919 -1.776 2.319
Er 1.919 1.776 2.319
Er 1.919 0.000 5.309
Sc 0.000 -2.862 4.962
Sc 0.000 2.862 4.962
Cu 0.000 0.000 3.321
Te 1.919 -4.710 3.300
Te 1.919 4.710 3.300

4
Lattice="4.065 0.000 0.000 -2.032 3.520 0.000 0.000 0.000 6.418" Properties=species:S:1:pos:R:3 comment="ErCuSe2 PBE relaxed" final_energy_ev_per_atom=-5.027 pbc="T T T"
Er 0.000 0.000 0.000
Cu 0.000 2.347 3.947
Se 0.000 2.347 1.513
Se 2.032 1.173 4.683

24
Lattice="10.345 0.000 0.000 0.000 3.859 0.000 0.000 0.000 13.155" Properties=species:S:1:pos:R:3 comment="Er2CuSe3 PBE relaxed" final_energy_ev_per_atom=-5.226 pbc="T T T"
Er 0.190 0.965 3.212
Er 2.281 2.894 6.807
Er 2.892 0.965 0.230
Er 4.983 2.894 9.790
Er 5.363 0.965 3.365
Er 7.454 2.894 12.925
Er 8.064 0.965 6.348
Er 10.155 2.894 9.943
Cu 2.418 0.965 9.545
Cu 2.754 2.894 2.968
Cu 7.591 0.965 10.187
Cu 7.927 2.894 3.610
Se 0.490 0.965 7.967
Se 1.005 2.894 1.289
Se 2.428 2.894 11.157
Se 2.745 0.965 4.579
Se 4.168 0.965 7.867
Se 4.683 2.894 1.389
Se 5.663 0.965 11.766
Se 6.178 2.894 5.288
Se 7.600 2.894 8.576
Se 7.918 0.965 1.998
Se 9.340 0.965 11.866
Se 9.855 2.894 5.188

14
Lattice="5.052 -5.940 0.000 5.052 5.940 0.000 -5.028 0.000 5.110" Properties=species:S:1:pos:R:3 comment="ErCu2Se4 PBE relaxed" final_energy_ev_per_atom=-4.389 pbc="T T T"
Er 1.281 4.454 3.833
Er 3.795 -4.454 1.278
Cu 2.526 2.970 0.000
Cu 0.012 -2.970 2.555
Cu 5.052 0.000 0.000
Cu 2.538 0.000 2.555
Se -1.935 0.832 4.071
Se 1.532 2.143 1.982
Se 0.579 -0.832 1.516
Se 6.059 2.143 0.573
Se -0.982 -2.143 4.538
Se 4.497 0.832 3.595
Se 3.544 -2.143 3.128
Se 7.012 -0.832 1.039

16
Lattice="5.914 0.000 0.000 0.000 5.914 0.000 0.000 0.000 12.175" Properties=species:S:1:pos:R:3 comment="ErCuSe2 PBE relaxed" final_energy_ev_per_atom=-4.839 pbc="T T T"
Er 0.000 0.000 0.000
Er 0.000 2.957 3.044
Er 2.957 0.000 9.131
Er 2.957 2.957 6.087
Cu 0.000 0.000 6.087
Cu 0.000 2.957 9.131
Cu 2.957 0.000 3.044
Cu 2.957 2.957 0.000
Se 1.266 4.435 7.609
Se 1.478 1.266 4.566
Se 1.478 1.691 10.653
Se 1.691 4.435 1.522
Se 4.223 1.478 1.522
Se 4.435 4.223 10.653
Se 4.435 4.648 4.566
Se 4.648 1.478 7.609